one | The following is a DFT calculation (PBE-GGA) of a geometry-optimized DyHo6Th structure. Values from VASP.

Quantum ESPRESSO input file:
```
&SYSTEM
  ibrav = 0, nat = 8, ntyp = 3
/
ATOMIC_SPECIES
Dy 162.50 Dy.upf
Ho 164.93 Ho.upf
Th 232.04 Th.upf
ATOMIC_POSITIONS crystal
Dy 0.0000 0.0000 0.0000
Ho 0.0000 0.5000 0.2518
Ho 0.0000 0.5000 0.7482
Ho 0.5000 0.0000 0.2518
Ho 0.5000 0.0000 0.7482
Ho 0.5000 0.5000 0.0000
Ho 0.5000 0.5000 0.5000
Th 0.0000 0.0000 0.5000
CELL_PARAMETERS angstrom
5.0103 0.0000 0.0000
0.0000 5.0103 0.0000
0.0000 0.0000 9.9449
```

Computed properties:
Mass density ... 9.21 g/cm3
Density of states at the Fermi level ... 11.8 states/eV/f.u.

=====

two | The following is a DFT calculation (PBE-GGA) of a geometry-optimized DyHo6Th structure. Values from VASP.

Quantum ESPRESSO input file:
```
&SYSTEM
  ibrav = 0, nat = 8, ntyp = 3
/
ATOMIC_SPECIES
Dy 162.50 Dy.upf
Ho 164.93 Ho.upf
Th 232.04 Th.upf
ATOMIC_POSITIONS crystal
Dy 0.0000 0.0000 0.0000
Ho 0.2401 0.5645 0.5259
Ho 0.2487 0.5293 0.0254
Ho 0.2557 0.0650 0.5118
Ho 0.7443 0.9350 0.4882
Ho 0.7513 0.4707 0.9746
Ho 0.7599 0.4355 0.4741
Th 0.5000 0.0000 0.0000
CELL_PARAMETERS angstrom
6.5365 0.0000 0.0000
0.2617 6.6428 0.0000
0.6723 3.2782 5.8388
```

Computed properties:
Mass density ... 9.07 g/cm3
Density of states at the Fermi level ... 15.2 states/eV/f.u.

=====

Going by the energies, one is most stable and the next is 194 meV/atom up.

=====

one | The following is a DFT calculation (PBE-GGA) of a geometry-optimized Dy7Ho12Th structure. Values from VASP.

Quantum ESPRESSO input file:
```
&SYSTEM
  ibrav = 0, nat = 20, ntyp = 3
/
ATOMIC_SPECIES
Dy 162.50 Dy.upf
Ho 164.93 Ho.upf
Th 232.04 Th.upf
ATOMIC_POSITIONS crystal
Dy 0.0000 0.0000 0.5000
Dy 0.0000 0.5000 0.0000
Dy 0.0000 0.5000 0.5000
Dy 0.5000 0.0000 0.0000
Dy 0.5000 0.0000 0.5000
Dy 0.5000 0.5000 0.0000
Dy 0.5000 0.5000 0.5000
Ho 0.0000 0.2460 0.7540
Ho 0.0000 0.7540 0.2460
Ho 0.2460 0.0000 0.7540
Ho 0.2460 0.2460 0.4921
Ho 0.2460 0.4921 0.2460
Ho 0.2460 0.7540 0.0000
Ho 0.4921 0.2460 0.2460
Ho 0.5079 0.7540 0.7540
Ho 0.7540 0.0000 0.2460
Ho 0.7540 0.2460 0.0000
Ho 0.7540 0.5079 0.7540
Ho 0.7540 0.7540 0.5079
Th 0.0000 0.0000 0.0000
CELL_PARAMETERS angstrom
-5.5998 5.5998 5.5998
5.5998 -5.5998 5.5998
5.5998 5.5998 -5.5998
```

Computed properties:
Mass density ... 7.92 g/cm3
Density of states at the Fermi level ... 27.8 states/eV/f.u.

=====

two | The following is a DFT calculation (PBE-GGA) of a geometry-optimized Dy7Ho12Th structure. Values from VASP.

Quantum ESPRESSO input file:
```
&SYSTEM
  ibrav = 0, nat = 20, ntyp = 3
/
ATOMIC_SPECIES
Dy 162.50 Dy.upf
Ho 164.93 Ho.upf
Th 232.04 Th.upf
ATOMIC_POSITIONS crystal
Dy 0.0000 0.0000 0.0000
Dy 0.1194 0.3444 0.4512
Dy 0.3444 0.4512 0.1194
Dy 0.4512 0.1194 0.3444
Dy 0.5488 0.8806 0.6556
Dy 0.6556 0.5488 0.8806
Dy 0.8806 0.6556 0.5488
Ho 0.0019 0.6458 0.1184
Ho 0.1184 0.0019 0.6458
Ho 0.2172 0.6354 0.7589
Ho 0.2411 0.7828 0.3646
Ho 0.3542 0.8816 0.9981
Ho 0.3646 0.2411 0.7828
Ho 0.6354 0.7589 0.2172
Ho 0.6458 0.1184 0.0019
Ho 0.7589 0.2172 0.6354
Ho 0.7828 0.3646 0.2411
Ho 0.8816 0.9981 0.3542
Ho 0.9981 0.3542 0.8816
Th 0.5000 0.5000 0.5000
CELL_PARAMETERS angstrom
6.0725 3.5060 5.0764
-6.0725 3.5060 5.0764
0.0000 -7.0120 5.0764
```

Computed properties:
Mass density ... 8.58 g/cm3
Density of states at the Fermi level ... 41.0 states/eV/f.u.

=====

Going by the energies, two is most stable and the next is 511 meV/atom up.

=====

one | The following is a DFT calculation (PBE-GGA) of a geometry-optimized DyHo2Th2 structure. Values from VASP.

Quantum ESPRESSO input file:
```
&SYSTEM
  ibrav = 0, nat = 20, ntyp = 3
/
ATOMIC_SPECIES
Dy 162.50 Dy.upf
Ho 164.93 Ho.upf
Th 232.04 Th.upf
ATOMIC_POSITIONS crystal
Dy 0.1982 0.1269 0.1498
Dy 0.1982 0.3731 0.6498
Dy 0.8018 0.6269 0.3502
Dy 0.8018 0.8731 0.8502
Ho 0.1964 0.6224 0.1477
Ho 0.1964 0.8776 0.6477
Ho 0.4017 0.6245 0.5501
Ho 0.4017 0.8755 0.0501
Ho 0.5983 0.1245 0.9499
Ho 0.5983 0.3755 0.4499
Ho 0.8036 0.1224 0.3523
Ho 0.8036 0.3776 0.8523
Th 0.9996 0.1244 0.7520
Th 0.9996 0.3756 0.2520
Th 0.0004 0.6244 0.7480
Th 0.0004 0.8756 0.2480
Th 0.4015 0.1292 0.5496
Th 0.4015 0.3708 0.0496
Th 0.5985 0.6292 0.9504
Th 0.5985 0.8708 0.4504
CELL_PARAMETERS angstrom
14.5712 0.0000 0.0000
0.0000 7.1005 0.0000
-0.8832 0.0000 6.1168
```

Computed properties:
Mass density ... 10.04 g/cm3
Density of states at the Fermi level ... 6.6 states/eV/f.u.

=====

two | The following is a DFT calculation (PBE-GGA) of a geometry-optimized DyHo2Th2 structure. Values from VASP.

Quantum ESPRESSO input file:
```
&SYSTEM
  ibrav = 0, nat = 10, ntyp = 3
/
ATOMIC_SPECIES
Dy 162.50 Dy.upf
Ho 164.93 Ho.upf
Th 232.04 Th.upf
ATOMIC_POSITIONS crystal
Dy 0.1250 0.1250 0.1250
Dy 0.8750 0.8750 0.8750
Ho 0.2055 0.5445 0.2055
Ho 0.4555 0.7945 0.4555
Ho 0.5445 0.2055 0.5445
Ho 0.7945 0.4555 0.7945
Th 0.0000 0.0000 0.0000
Th 0.0000 0.0000 0.5000
Th 0.0000 0.5000 0.0000
Th 0.5000 0.0000 0.0000
CELL_PARAMETERS angstrom
0.0000 8.3539 11.5482
1.7381 0.0000 11.5482
1.7381 8.3539 0.0000
```

Computed properties:
Mass density ... 9.47 g/cm3
Density of states at the Fermi level ... 8.2 states/eV/f.u.

=====

Going by the energies, one is most stable and the next is 414 meV/atom up.

=====

one | The following is a DFT calculation (PBE-GGA) of a geometry-optimized Dy4Ho5Th structure. Values from VASP.

Quantum ESPRESSO input file:
```
&SYSTEM
  ibrav = 0, nat = 10, ntyp = 3
/
ATOMIC_SPECIES
Dy 162.50 Dy.upf
Ho 164.93 Ho.upf
Th 232.04 Th.upf
ATOMIC_POSITIONS crystal
Dy 0.0496 0.3460 0.3956
Dy 0.3460 0.9504 0.2964
Dy 0.6540 0.0496 0.7036
Dy 0.9504 0.6540 0.6044
Ho 0.2417 0.2417 0.0000
Ho 0.2685 0.6456 0.9117
Ho 0.3568 0.2685 0.6229
Ho 0.6456 0.7339 0.3771
Ho 0.7339 0.3568 0.0883
Th 0.7759 0.7759 0.0000
CELL_PARAMETERS angstrom
-5.0705 5.0705 3.1665
5.0705 -5.0705 3.1665
5.0705 5.0705 -3.1665
```

Computed properties:
Mass density ... 8.70 g/cm3
Density of states at the Fermi level ... 14.6 states/eV/f.u.

=====

two | The following is a DFT calculation (PBE-GGA) of a geometry-optimized Dy4Ho5Th structure. Values from VASP.

Quantum ESPRESSO input file:
```
&SYSTEM
  ibrav = 0, nat = 10, ntyp = 3
/
ATOMIC_SPECIES
Dy 162.50 Dy.upf
Ho 164.93 Ho.upf
Th 232.04 Th.upf
ATOMIC_POSITIONS crystal
Dy 0.0474 0.0474 0.2516
Dy 0.3269 0.3269 0.2505
Dy 0.6731 0.6731 0.7495
Dy 0.9526 0.9526 0.7484
Ho 0.1923 0.1923 0.9377
Ho 0.1960 0.1960 0.5668
Ho 0.5000 0.5000 0.5000
Ho 0.8040 0.8040 0.4332
Ho 0.8077 0.8077 0.0623
Th 0.5000 0.5000 0.0000
CELL_PARAMETERS angstrom
5.8449 -2.7066 0.0000
5.8449 2.7066 0.0000
-0.1311 0.0000 10.2863
```

Computed properties:
Mass density ... 8.71 g/cm3
Density of states at the Fermi level ... 16.1 states/eV/f.u.

=====

Going by the energies, two is most stable and the next is 136 meV/atom up.

=====

one | The following is a DFT calculation (PBE-GGA) of a geometry-optimized Dy7HoTh3 structure. Values from VASP.

Quantum ESPRESSO input file:
```
&SYSTEM
  ibrav = 0, nat = 11, ntyp = 3
/
ATOMIC_SPECIES
Dy 162.50 Dy.upf
Ho 164.93 Ho.upf
Th 232.04 Th.upf
ATOMIC_POSITIONS crystal
Dy 0.0000 0.0000 0.0000
Dy 0.1654 0.3308 0.3411
Dy 0.1654 0.8346 0.3411
Dy 0.5013 0.0027 0.0035
Dy 0.5013 0.4987 0.0035
Dy 0.6692 0.8346 0.3411
Dy 0.9973 0.4987 0.0035
Ho 0.6667 0.3333 0.3441
Th 0.3336 0.1668 0.6720
Th 0.8332 0.1668 0.6720
Th 0.8332 0.6664 0.6720
CELL_PARAMETERS angstrom
7.0639 0.0000 0.0000
-3.5319 6.1175 0.0000
0.0000 0.0000 8.5236
```

Computed properties:
Mass density ... 9.01 g/cm3
Density of states at the Fermi level ... 15.3 states/eV/f.u.

=====

two | The following is a DFT calculation (PBE-GGA) of a geometry-optimized Dy7HoTh3 structure. Values from VASP.

Quantum ESPRESSO input file:
```
&SYSTEM
  ibrav = 0, nat = 11, ntyp = 3
/
ATOMIC_SPECIES
Dy 162.50 Dy.upf
Ho 164.93 Ho.upf
Th 232.04 Th.upf
ATOMIC_POSITIONS crystal
Dy 0.0000 0.0000 0.0000
Dy 0.0713 0.7146 0.6443
Dy 0.2063 0.2305 0.7049
Dy 0.4920 0.7312 0.9253
Dy 0.5080 0.2688 0.0747
Dy 0.7937 0.7695 0.2951
Dy 0.9287 0.2854 0.3557
Ho 0.0000 0.5000 0.0000
Th 0.3242 0.9469 0.3349
Th 0.5000 0.5000 0.5000
Th 0.6758 0.0531 0.6651
CELL_PARAMETERS angstrom
6.4324 0.0000 0.0000
-0.7875 6.6348 0.0000
-1.0624 -1.8375 8.3602
```

Computed properties:
Mass density ... 9.30 g/cm3
Density of states at the Fermi level ... 17.6 states/eV/f.u.

=====

Going by the energies, two is most stable and the next is 57 meV/atom up.